Entry 1:
VASP calculation (PBE) on Mg2Cu2Se after structural relaxation.

## Properties
* M_tot: 0.00 μB/f.u.
* energy above the most stable polymorph in this dataset: 152 meV per atom

Geometry as POSCAR:
```
Mg2Cu2Se
1.0
-1.761 3.018 4.161
1.761 -3.018 4.161
1.761 3.018 -4.161
Mg Cu Se
2 2 1
direct
0.221 0.221 0.000
0.779 0.779 0.000
0.194 0.500 0.694
0.806 0.500 0.306
0.500 0.000 0.500
```



Entry 2:
VASP calculation (PBE) on MgCuSe after structural relaxation.

## Properties
* M_tot: 0.00 μB/f.u.
* energy above the most stable polymorph in this dataset: 319 meV per atom

Geometry as POSCAR:
```
MgCuSe
1.0
4.292 0.000 0.000
0.000 4.292 0.000
0.000 0.000 6.069
Mg Cu Se
2 2 2
direct
0.250 0.750 0.000
0.750 0.250 0.000
0.250 0.250 0.308
0.750 0.750 0.692
0.250 0.250 0.715
0.750 0.750 0.285
```



Entry 3:
VASP calculation (PBE) on MgCuSe after structural relaxation.

## Properties
* M_tot: 0.00 μB/f.u.
* energy above the most stable polymorph in this dataset: 183 meV per atom

Geometry as POSCAR:
```
MgCuSe
1.0
3.734 0.000 0.000
0.000 10.702 0.000
0.000 0.000 5.289
Mg Cu Se
4 4 4
direct
0.250 0.083 0.250
0.250 0.417 0.750
0.750 0.583 0.250
0.750 0.917 0.750
0.248 0.750 0.000
0.248 0.750 0.500
0.752 0.250 0.000
0.752 0.250 0.500
0.253 0.118 0.750
0.253 0.382 0.250
0.747 0.618 0.750
0.747 0.882 0.250
```



Result set for energy relative to the elements, uncorrected: -4.2, -4.5, -7.7 kcal/mol of atoms, one per record in the order listed.